(1)
A plane-wave DFT calculation with PBE was carried out for crystalline Mg2TiIn2 at its relaxed geometry.

Summary:
The formation energy comes out at 3.8 kcal/mol of atoms. The crystal system is tetragonal. For the total magnetic moment, the calculation gives 0.6 Bohr magnetons per cell. As for the space group: P4/mbm (127). As for the density of states at the Fermi level: 5.06 states/eV per cell.

Unit cell a=8.205 b=8.205 c=3.216 alpha=90.00 beta=90.00 gamma=90.00
Fractional coordinates of all 10 atoms:
1 Mg 0.126 0.374 0.000
2 Mg 0.374 0.874 0.000
3 Mg 0.626 0.126 0.000
4 Mg 0.874 0.626 0.000
5 Ti 0.000 0.000 0.000
6 Ti 0.500 0.500 0.000
7 In 0.175 0.675 0.500
8 In 0.325 0.175 0.500
9 In 0.675 0.825 0.500
10 In 0.825 0.325 0.500

(2)
A plane-wave DFT calculation with PBE was carried out for crystalline Mg2TiIn at its relaxed geometry.

Summary:
The formation energy comes out at 8.4 kcal/mol of atoms. The crystal system is tetragonal. For the total magnetic moment, the calculation gives 2.3 Bohr magnetons per cell. As for the space group: I-42d (122). As for the density of states at the Fermi level: 4.43 states/eV per cell.

Unit cell a=6.307 b=6.307 c=6.307 alpha=102.26 beta=102.26 gamma=125.11
Fractional coordinates of all 8 atoms:
1 Mg 0.118 0.625 0.993
2 Mg 0.375 0.368 0.493
3 Mg 0.632 0.125 0.007
4 Mg 0.875 0.882 0.507
5 Ti 0.250 0.750 0.500
6 Ti 0.500 0.500 0.000
7 In 0.000 0.000 0.000
8 In 0.750 0.250 0.500

(3)
A plane-wave DFT calculation with PBE was carried out for crystalline Mg2TiIn at its relaxed geometry.

Summary:
The formation energy comes out at 7.7 kcal/mol of atoms. The crystal system is trigonal. For the total magnetic moment, the calculation gives 0.0 Bohr magnetons per cell. As for the space group: R-3m (166). As for the density of states at the Fermi level: 2.61 states/eV per cell.

Unit cell a=10.979 b=10.979 c=10.979 alpha=16.11 beta=16.11 gamma=16.11
Fractional coordinates of all 4 atoms:
1 Mg 0.088 0.088 0.088
2 Mg 0.912 0.912 0.912
3 Ti 0.000 0.000 0.000
4 In 0.500 0.500 0.500

(4)
A plane-wave DFT calculation with PBE was carried out for crystalline Mg2TiIn2 at its relaxed geometry.

Summary:
The formation energy comes out at 3.2 kcal/mol of atoms. The crystal system is tetragonal. For the total magnetic moment, the calculation gives 1.4 Bohr magnetons per cell. As for the space group: P4/mbm (127). As for the density of states at the Fermi level: 8.12 states/eV per cell.

Unit cell a=8.027 b=8.027 c=3.423 alpha=90.00 beta=90.00 gamma=90.00
Fractional coordinates of all 10 atoms:
1 Mg 0.162 0.338 0.000
2 Mg 0.338 0.838 0.000
3 Mg 0.662 0.162 0.000
4 Mg 0.838 0.662 0.000
5 Ti 0.000 0.000 0.500
6 Ti 0.500 0.500 0.500
7 In 0.141 0.641 0.500
8 In 0.359 0.141 0.500
9 In 0.641 0.859 0.500
10 In 0.859 0.359 0.500

(5)
A plane-wave DFT calculation with PBE was carried out for crystalline MgTiIn2 at its relaxed geometry.

Summary:
The formation energy comes out at -2.6 kcal/mol of atoms. The crystal system is tetragonal. For the total magnetic moment, the calculation gives 0.0 Bohr magnetons per cell. As for the space group: P4/mmm (123). As for the density of states at the Fermi level: 1.90 states/eV per cell.

Unit cell a=4.401 b=4.401 c=4.201 alpha=90.00 beta=90.00 gamma=90.00
Fractional coordinates of all 4 atoms:
1 Mg 0.000 0.000 0.000
2 Ti 0.500 0.500 0.000
3 In 0.000 0.500 0.500
4 In 0.500 0.000 0.500

(6)
A plane-wave DFT calculation with PBE was carried out for crystalline MgTiIn2 at its relaxed geometry.

Summary:
The formation energy comes out at 5.9 kcal/mol of atoms. The crystal system is tetragonal. For the total magnetic moment, the calculation gives 0.0 Bohr magnetons per cell. As for the space group: I-42d (122). As for the density of states at the Fermi level: 4.01 states/eV per cell.

Unit cell a=6.255 b=6.255 c=6.255 alpha=104.09 beta=104.09 gamma=120.88
Fractional coordinates of all 8 atoms:
1 Mg 0.000 0.000 0.000
2 Mg 0.750 0.250 0.500
3 Ti 0.250 0.750 0.500
4 Ti 0.500 0.500 0.000
5 In 0.123 0.125 0.498
6 In 0.375 0.877 0.002
7 In 0.627 0.625 0.502
8 In 0.875 0.373 0.998

(7)
A plane-wave DFT calculation with PBE was carried out for crystalline MgTi2In2 at its relaxed geometry.

Summary:
The formation energy comes out at 1.1 kcal/mol of atoms. The crystal system is tetragonal. For the total magnetic moment, the calculation gives 1.2 Bohr magnetons per cell. As for the space group: P4/mbm (127). As for the density of states at the Fermi level: 6.69 states/eV per cell.

Unit cell a=7.738 b=7.738 c=3.459 alpha=90.00 beta=90.00 gamma=90.00
Fractional coordinates of all 10 atoms:
1 Mg 0.000 0.000 0.000
2 Mg 0.500 0.500 0.000
3 Ti 0.170 0.330 0.500
4 Ti 0.330 0.830 0.500
5 Ti 0.670 0.170 0.500
6 Ti 0.830 0.670 0.500
7 In 0.132 0.632 0.000
8 In 0.368 0.132 0.000
9 In 0.632 0.868 0.000
10 In 0.868 0.368 0.000

(8)
A plane-wave DFT calculation with PBE was carried out for crystalline Mg4TiIn5 at its relaxed geometry.

Summary:
The formation energy comes out at -1.7 kcal/mol of atoms. The crystal system is tetragonal. For the total magnetic moment, the calculation gives 0.1 Bohr magnetons per cell. As for the space group: P4/mmm (123). As for the density of states at the Fermi level: 5.54 states/eV per cell.

Unit cell a=3.181 b=3.181 c=22.050 alpha=90.00 beta=90.00 gamma=90.00
Fractional coordinates of all 10 atoms:
1 Mg 0.000 0.000 0.102
2 Mg 0.000 0.000 0.306
3 Mg 0.000 0.000 0.694
4 Mg 0.000 0.000 0.898
5 Ti 0.000 0.000 0.500
6 In 0.500 0.500 0.000
7 In 0.500 0.500 0.204
8 In 0.500 0.500 0.409
9 In 0.500 0.500 0.591
10 In 0.500 0.500 0.796

(9)
A plane-wave DFT calculation with PBE was carried out for crystalline Mg2TiIn at its relaxed geometry.

Summary:
The formation energy comes out at -1.6 kcal/mol of atoms. The crystal system is tetragonal. For the total magnetic moment, the calculation gives 0.0 Bohr magnetons per cell. As for the space group: P4/mmm (123). As for the density of states at the Fermi level: 2.83 states/eV per cell.

Unit cell a=4.253 b=4.253 c=4.438 alpha=90.00 beta=90.00 gamma=90.00
Fractional coordinates of all 4 atoms:
1 Mg 0.000 0.500 0.000
2 Mg 0.500 0.000 0.000
3 Ti 0.000 0.000 0.500
4 In 0.500 0.500 0.500

(10)
A plane-wave DFT calculation with PBE was carried out for crystalline MgTiIn2 at its relaxed geometry.

Summary:
The formation energy comes out at -1.3 kcal/mol of atoms. The crystal system is tetragonal. For the total magnetic moment, the calculation gives 0.3 Bohr magnetons per cell. As for the space group: P4/mmm (123). As for the density of states at the Fermi level: 3.04 states/eV per cell.

Unit cell a=3.091 b=3.091 c=8.757 alpha=90.00 beta=90.00 gamma=90.00
Fractional coordinates of all 4 atoms:
1 Mg 0.000 0.000 0.000
2 Ti 0.000 0.000 0.500
3 In 0.500 0.500 0.263
4 In 0.500 0.500 0.737

(11)
A plane-wave DFT calculation with PBE was carried out for crystalline MgTiIn2 at its relaxed geometry.

Summary:
The formation energy comes out at 5.2 kcal/mol of atoms. The crystal system is trigonal. For the total magnetic moment, the calculation gives 1.7 Bohr magnetons per cell. As for the space group: R3m (160). As for the density of states at the Fermi level: 3.85 states/eV per cell.

Unit cell a=5.720 b=5.720 c=5.720 alpha=48.59 beta=48.59 gamma=48.59
Fractional coordinates of all 4 atoms:
1 Mg 0.000 0.000 0.000
2 Ti 0.790 0.790 0.790
3 In 0.390 0.390 0.390
4 In 0.581 0.581 0.581

(12)
A plane-wave DFT calculation with PBE was carried out for crystalline MgTi2In4 at its relaxed geometry.

Summary:
The formation energy comes out at -1.0 kcal/mol of atoms. The crystal system is tetragonal. For the total magnetic moment, the calculation gives 1.0 Bohr magnetons per cell. As for the space group: I4/mmm (139). As for the density of states at the Fermi level: 3.63 states/eV per cell.

Unit cell a=5.900 b=5.900 c=5.900 alpha=106.28 beta=106.28 gamma=116.06
Fractional coordinates of all 7 atoms:
1 Mg 0.000 0.000 0.000
2 Ti 0.000 0.500 0.500
3 Ti 0.500 0.000 0.500
4 In 0.000 0.000 0.500
5 In 0.000 0.500 0.000
6 In 0.500 0.000 0.000
7 In 0.500 0.500 0.500